#one
A geometry-optimized TaFePb2 structure. Source: Alexandria, functional PBE.

Output
Density of states at the Fermi level ... 0.6990 states/eV/atom
Size of the total moment ... 0.01 μB per formula unit
Symmetry ... Imm2 (44)

Cell lengths 6.6700, 6.6700, 6.6700 Å; angles 152.36, 139.01, 50.16 degrees
Element x y z (fractional)
Fe1 0.2835 0.7835 0.5000
Pb1 0.0374 0.0374 0.0000
Pb2 0.7527 0.2527 0.5000
Ta1 0.4264 0.4264 0.0000

***

#two
A geometry-optimized TaFePb2 structure. Source: Alexandria, functional PBE.

Output
Density of states at the Fermi level ... 0.9085 states/eV/atom
Size of the total moment ... 2.38 μB per formula unit
Symmetry ... P2/m (10)

Cell lengths 4.3699, 3.1614, 6.1448 Å; angles 79.86, 90.00, 90.00 degrees
Last column: magnetic moment on the atom in μB.
Element x y z (fractional)
Fe1 0.5000 0.7500 0.7500  2.54
Pb1 0.0000 0.9305 0.9919  -0.02
Pb2 0.0000 0.5695 0.5081  -0.02
Ta1 0.5000 0.2500 0.2500  -0.07

***

Energetically preferred structure: #one | next structure: +215 meV per atom

***

#one
A geometry-optimized TaFePb structure. Source: Alexandria, functional PBE.

Output
Density of states at the Fermi level ... 0.6139 states/eV/atom
Size of the total moment ... 0.72 μB per formula unit
Symmetry ... P3m1 (156)

Cell lengths 3.2404, 3.2404, 6.5139 Å; angles 90.00, 90.00, 120.00 degrees
Last column: magnetic moment on the atom in μB.
Element x y z (fractional)
Fe1 0.0000 0.0000 0.9585  1.05
Pb1 0.6667 0.3333 0.3153  0.01
Ta1 0.3333 0.6667 0.7261  -0.26

***

#two
A geometry-optimized TaFePb structure. Source: Alexandria, functional PBE.

Output
Density of states at the Fermi level ... 0.7541 states/eV/atom
Size of the total moment ... 1.62 μB per formula unit
Symmetry ... F-43m (216)

Cell lengths 4.5312, 4.5312, 4.5312 Å; angles 60.00, 60.00, 60.00 degrees
Last column: magnetic moment on the atom in μB.
Element x y z (fractional)
Fe1 0.0000 0.0000 0.0000  2.28
Pb1 0.5000 0.5000 0.5000  0.02
Ta1 0.7500 0.7500 0.7500  -0.55

***

#three
A geometry-optimized TaFePb structure. Source: Alexandria, functional PBE.

Output
Density of states at the Fermi level ... 0.8429 states/eV/atom
Size of the total moment ... 0.99 μB per formula unit
Symmetry ... I4mm (107)

Cell lengths 6.0651, 6.0652, 3.1259 Å; angles 75.07, 75.07, 29.87 degrees
Last column: magnetic moment on the atom in μB.
Element x y z (fractional)
Fe1 0.0210 0.0210 0.9790  1.14
Pb1 0.3448 0.3448 0.6552  0.00
Ta1 0.6341 0.6341 0.3659  -0.13

***

#four
A geometry-optimized TaFePb structure. Source: Alexandria, functional PBE.

Output
Density of states at the Fermi level ... 0.7446 states/eV/atom
Size of the total moment ... 1.01 μB per formula unit
Symmetry ... F-43m (216)

Cell lengths 4.3249, 4.3249, 4.3249 Å; angles 60.00, 60.00, 60.00 degrees
Last column: magnetic moment on the atom in μB.
Element x y z (fractional)
Fe1 0.7500 0.7500 0.7500  1.24
Pb1 0.0000 0.0000 0.0000  0.02
Ta1 0.5000 0.5000 0.5000  -0.24

***

Energetically preferred structure: #four | next structure: +32 meV per atom

***

#one
A geometry-optimized Ta3FePb structure. Source: Alexandria, functional PBE.

Output
Density of states at the Fermi level ... 1.3135 states/eV/atom
Size of the total moment ... 0.00 μB per formula unit
Symmetry ... Pm-3m (221)

Cell lengths 4.6467, 4.6467, 4.6467 Å; angles 90.00, 90.00, 90.00 degrees
Element x y z (fractional)
Pb1 0.5000 0.5000 0.5000
Fe1 0.0000 0.0000 0.0000
Ta1 0.0000 0.5000 0.0000
Ta2 0.0000 0.0000 0.5000
Ta3 0.5000 0.0000 0.0000

***

#two
A geometry-optimized Ta3FePb structure. Source: Alexandria, functional PBE.

Output
Density of states at the Fermi level ... 2.8406 states/eV/atom
Size of the total moment ... 0.28 μB per formula unit
Symmetry ... Pm-3m (221)

Cell lengths 5.0578, 5.0578, 5.0578 Å; angles 90.00, 90.00, 90.00 degrees
Last column: magnetic moment on the atom in μB.
Element x y z (fractional)
Pb1 0.0000 0.0000 0.0000  -0.01
Fe1 0.5000 0.5000 0.5000  0.23
Ta1 0.0000 0.5000 0.0000  -0.10
Ta2 0.0000 0.0000 0.5000  -0.09
Ta3 0.5000 0.0000 0.0000  -0.10

***

Energetically preferred structure: #one | next structure: +2294 meV per atom